# NbFe2F

NbFe2F after structural relaxation (GGA+U, Alexandria via LeMat-Bulk).

space group = I-42d, No. 122
magnetic moment = 6.00 μB/f.u.
ΔE to the lowest computed polymorph = 0 meV per atom

Cell lengths 7.056, 7.056, 4.907 Å; angles 90.00, 90.00, 90.00 degrees
Element x y z (fractional)
Nb  0.000  0.000  0.000
Nb  0.000  0.500  0.250
Nb  0.500  0.000  0.750
Nb  0.500  0.500  0.500
Fe  0.182  0.250  0.625
Fe  0.250  0.682  0.875
Fe  0.250  0.818  0.375
Fe  0.318  0.250  0.125
Fe  0.682  0.750  0.125
Fe  0.750  0.182  0.375
Fe  0.750  0.318  0.875
Fe  0.818  0.750  0.625
F  0.000  0.000  0.500
F  0.000  0.500  0.750
F  0.500  0.000  0.250
F  0.500  0.500  0.000